Here is a relaxed structure of LaSnH from Alexandria. Energies are from PBE.

- distance to the lowest polymorph of the same formula (meV/atom) = 0

Cell: 4.477 4.478 6.687 Å, 89.97 70.54 89.89°
Space group P-1 (No. 2)
Inequivalent atoms, fractional coordinates:
La 0.156 0.250 0.186
Sn 0.429 0.250 0.642
H 0.257 0.750 0.988



Here is a relaxed structure of TcP2Pt from Alexandria. Energies are from PBE.

- ΔE_f (kcal/mol of atoms) = -3.968
- distance to the lowest polymorph of the same formula (meV/atom) = 223

Cell: 4.034 3.053 4.994 Å, 90.00 113.72 90.00°
Space group P2/m (No. 10)
Inequivalent atoms, fractional coordinates:
Tc 0.000 0.000 0.000
P 0.000 0.000 0.500
P 0.500 0.500 0.000
Pt 0.500 0.500 0.500



Here is a relaxed structure of Tl3ReBr6Cl2 from Alexandria. Energies are from PBE.

- energy relative to the elements, uncorrected (eV/atom) = -0.5793

Cell: 15.838 8.871 6.353 Å, 90.00 94.73 90.00°
Space group C2/m (No. 12)
Inequivalent atoms, fractional coordinates:
Tl 0.000 0.000 0.000
Tl 0.250 0.250 0.500
Re 0.000 0.500 0.500
Br 0.075 0.300 0.726
Br 0.120 0.500 0.266
Cl 0.175 0.000 0.225



Here is a relaxed structure of Ag2SnPb from Alexandria. Energies are from PBE.

- ΔE_f (kcal/mol of atoms) = 2.572
- distance to the lowest polymorph of the same formula (meV/atom) = 19

Cell: 4.944 7.442 5.624 Å, 90.00 99.51 90.00°
Space group P2_1/m (No. 11)
Inequivalent atoms, fractional coordinates:
Ag 0.234 0.052 0.398
Sn 0.305 0.750 0.740
Pb 0.113 0.250 0.880



Here is a relaxed structure of NaLaTb from Alexandria. Energies are from PBE.

- ΔE_f (kcal/mol of atoms) = 3.601
- distance to the lowest polymorph of the same formula (meV/atom) = 51

Cell: 5.7194 5.7194 7.3347 Å, 90.00 90.00 120.00°
Space group P-3m1 (No. 164)
Inequivalent atoms, fractional coordinates:
Na 0.3333 0.6667 0.0006
La 0.0000 0.0000 0.2670
Tb 0.3333 0.6667 0.5003



Here is a relaxed structure of Sc2Ni5P3 from Alexandria. Energies are from PBE.

- ΔE_f (kcal/mol of atoms) = -19.690

Cell: 3.772 21.995 6.237 Å, 90.00 90.00 90.00°
Space group Cmc2_1 (No. 36)
Inequivalent atoms, fractional coordinates:
Sc 0.000 0.022 0.000
Sc 0.000 0.325 0.022
Ni 0.000 0.095 0.376
Ni 0.000 0.210 0.840
Ni 0.000 0.212 0.238
Ni 0.000 0.372 0.515
Ni 0.000 0.444 0.170
P 0.000 0.112 0.736
P 0.000 0.269 0.540
P 0.000 0.452 0.781



Copy entry 4 word for word.
Here is a relaxed structure of Ag2SnPb from Alexandria. Energies are from PBE.

- ΔE_f (kcal/mol of atoms) = 2.572
- distance to the lowest polymorph of the same formula (meV/atom) = 19

Cell: 4.944 7.442 5.624 Å, 90.00 99.51 90.00°
Space group P2_1/m (No. 11)
Inequivalent atoms, fractional coordinates:
Ag 0.234 0.052 0.398
Sn 0.305 0.750 0.740
Pb 0.113 0.250 0.880